No. 1
Here is a relaxed structure of LiYVF6 from Alexandria via LeMat-Bulk. Energies are from PBE with a Hubbard U.

```
data_LiYVF6
_chemical_formula_sum 'Li2 Y2 V2 F12'
_cell_length_a 4.988
_cell_length_b 4.988
_cell_length_c 9.917
_cell_angle_alpha 90.00
_cell_angle_beta 90.00
_cell_angle_gamma 90.00
_symmetry_space_group_name_H-M 'P 42 n m'
_symmetry_Int_Tables_number 102
loop_
_symmetry_equiv_pos_as_xyz
'x,y,z'
'-y+1/2,x+1/2,z+1/2'
'-x,-y,z'
'y+1/2,-x+1/2,z+1/2'
'-x+1/2,y+1/2,z+1/2'
'y,x,z'
'x+1/2,-y+1/2,z+1/2'
'-y,-x,z'
loop_
_atom_site_label
_atom_site_type_symbol
_atom_site_fract_x
_atom_site_fract_y
_atom_site_fract_z
Li1 Li 0.000 0.000 0.000
Y1 Y 0.000 0.000 0.335
V1 V 0.000 0.000 0.669
F1 F 0.189 0.189 0.836
F2 F 0.200 0.200 0.165
F3 F 0.200 0.200 0.506
```

Properties
Uncorrected energy (eV/atom): -6.347
Total moment (μB/cell): 6.00


No. 2
Here is a relaxed structure of KVHg2O4 from Alexandria via LeMat-Bulk. Energies are from PBE with a Hubbard U.

```
data_KVHg2O4
_chemical_formula_sum 'K4 V4 Hg8 O16'
_cell_length_a 7.721
_cell_length_b 7.793
_cell_length_c 10.384
_cell_angle_alpha 90.00
_cell_angle_beta 90.00
_cell_angle_gamma 90.00
_symmetry_space_group_name_H-M 'F m m 2'
_symmetry_Int_Tables_number 42
_symmetry_space_group_name_Hall 'F 2 -2'
loop_
_atom_site_label
_atom_site_type_symbol
_atom_site_fract_x
_atom_site_fract_y
_atom_site_fract_z
K1 K 0.000 0.000 0.000
V1 V 0.000 0.000 0.503
Hg1 Hg 0.250 0.250 0.252
O1 O 0.000 0.184 0.405
O2 O 0.185 0.000 0.602
```

Properties
Uncorrected energy (eV/atom): -4.767
Total moment (μB/cell): 0.00